No. 1
## Tb2Co3Ni (meta-GGA SCAN)

Data for a PBEsol-optimized structure of Tb2Co3Ni. Values from VASP.

Results
For the volume, the calculation gives 87.4 Å³/cell. As for the total magnetic moment: 0.507 μB per atom. The space group is R-3m, No. 166. The formation energy from the elements is -129 kJ/mol of formula units.

The structure in Quantum ESPRESSO input format:
```
&SYSTEM
  ibrav = 0, nat = 6, ntyp = 3
/
ATOMIC_SPECIES
Tb 158.93 Tb.upf
Co 58.93 Co.upf
Ni 58.69 Ni.upf
CELL_PARAMETERS angstrom
4.9118 0.0000 0.0000
2.4559 4.2537 0.0000
2.4559 1.4179 4.1837
ATOMIC_POSITIONS angstrom
Tb 2.4559 1.4179 2.6473
Tb 7.3677 4.2537 1.5364
Co 2.4559 0.0000 0.0000
Co 3.6838 2.1269 0.0000
Co 1.2279 2.1269 0.0000
Ni 4.9118 2.8358 2.0919
```



No. 2
## CoTc2Ni (meta-GGA SCAN)

Data for a PBEsol-optimized structure of CoTc2Ni. Values from VASP.

Results
For the volume, the calculation gives 48.1 Å³/cell. The calculation puts the polymorph energy (0 for the lowest one) at 66 meV per atom. As for the total magnetic moment: 0.494 μB per atom. The space group is Cmmm, No. 65. The formation energy from the elements is 30 kJ/mol of formula units.

The structure in Quantum ESPRESSO input format:
```
&SYSTEM
  ibrav = 0, nat = 4, ntyp = 3
/
ATOMIC_SPECIES
Tc 98.00 Tc.upf
Ni 58.69 Ni.upf
Co 58.93 Co.upf
CELL_PARAMETERS angstrom
2.5519 0.0000 0.0000
0.0000 4.4925 0.0097
0.0000 -1.6180 4.1910
ATOMIC_POSITIONS angstrom
Tc 0.0000 -0.8090 2.0955
Tc 0.0000 2.2462 0.0048
Ni 1.2760 1.4372 2.1003
Co 1.2760 0.0000 0.0000
```



No. 3
## CoTcNi (meta-GGA SCAN)

Data for a PBEsol-optimized structure of CoTcNi. Values from VASP.

Results
For the volume, the calculation gives 34.0 Å³/cell. As for the total magnetic moment: 0.158 μB per atom. The space group is Imm2, No. 44. The formation energy from the elements is 30 kJ/mol of formula units.

The structure in Quantum ESPRESSO input format:
```
&SYSTEM
  ibrav = 0, nat = 3, ntyp = 3
/
ATOMIC_SPECIES
Ni 58.69 Ni.upf
Tc 98.00 Tc.upf
Co 58.93 Co.upf
CELL_PARAMETERS angstrom
2.5502 0.0000 0.0000
0.0000 3.5602 0.0000
-1.2751 -1.7801 3.7450
ATOMIC_POSITIONS angstrom
Ni 1.2751 1.7801 1.2390
Tc 0.0000 0.0000 2.5104
Co 1.2751 1.7801 3.7405
```



No. 4
## Co2TcNi (meta-GGA SCAN)

Data for a PBEsol-optimized structure of Co2TcNi. Values from VASP.

Results
For the volume, the calculation gives 44.1 Å³/cell. The calculation puts the polymorph energy (0 for the lowest one) at 0 meV per atom. As for the total magnetic moment: 0.917 μB per atom. The space group is P4/mmm, No. 123. The formation energy from the elements is 69 kJ/mol of formula units.

The structure in Quantum ESPRESSO input format:
```
&SYSTEM
  ibrav = 0, nat = 4, ntyp = 3
/
ATOMIC_SPECIES
Tc 98.00 Tc.upf
Co 58.93 Co.upf
Ni 58.69 Ni.upf
CELL_PARAMETERS angstrom
3.4628 0.0000 0.0000
0.0000 3.5691 0.0000
0.0000 0.0000 3.5691
ATOMIC_POSITIONS angstrom
Tc 1.7314 0.0000 0.0000
Co 0.0000 0.0000 1.7846
Co 0.0000 1.7846 0.0000
Ni 1.7314 1.7846 1.7846
```



No. 5
## CoTc2Ni (meta-GGA SCAN)

Data for a PBEsol-optimized structure of CoTc2Ni. Values from VASP.

Results
For the volume, the calculation gives 48.5 Å³/cell. The calculation puts the polymorph energy (0 for the lowest one) at 48 meV per atom. As for the total magnetic moment: 0.495 μB per atom. The space group is I-4m2, No. 119. The formation energy from the elements is 23 kJ/mol of formula units.

The structure in Quantum ESPRESSO input format:
```
&SYSTEM
  ibrav = 0, nat = 4, ntyp = 3
/
ATOMIC_SPECIES
Tc 98.00 Tc.upf
Co 58.93 Co.upf
Ni 58.69 Ni.upf
CELL_PARAMETERS angstrom
3.6585 0.0000 0.0000
0.0000 3.6585 0.0000
-1.8292 -1.8292 3.6203
ATOMIC_POSITIONS angstrom
Tc 0.0000 0.0000 0.0000
Tc 1.8292 0.0000 1.8102
Co 1.8292 1.8292 0.0000
Ni 0.0000 1.8292 1.8102
```



No. 6
## Co2TcNi (meta-GGA SCAN)

Data for a PBEsol-optimized structure of Co2TcNi. Values from VASP.

Results
For the volume, the calculation gives 44.6 Å³/cell. The calculation puts the polymorph energy (0 for the lowest one) at 28 meV per atom. As for the total magnetic moment: 1.050 μB per atom. The space group is Cmmm, No. 65. The formation energy from the elements is 79 kJ/mol of formula units.

The structure in Quantum ESPRESSO input format:
```
&SYSTEM
  ibrav = 0, nat = 4, ntyp = 3
/
ATOMIC_SPECIES
Tc 98.00 Tc.upf
Co 58.93 Co.upf
Ni 58.69 Ni.upf
CELL_PARAMETERS angstrom
2.5181 0.0000 0.0000
0.0000 4.3249 0.0144
0.0000 -1.4134 4.0874
ATOMIC_POSITIONS angstrom
Tc 1.2591 1.4557 2.0509
Co 0.0000 2.1624 0.0072
Co 0.0000 -0.7067 2.0437
Ni 1.2591 0.0000 0.0000
```



No. 7
## CoTc2Ni (meta-GGA SCAN)

Data for a PBEsol-optimized structure of CoTc2Ni. Values from VASP.

Results
For the volume, the calculation gives 47.7 Å³/cell. The calculation puts the polymorph energy (0 for the lowest one) at 0 meV per atom. As for the total magnetic moment: 0.192 μB per atom. The space group is Pmm2, No. 25. The formation energy from the elements is 4 kJ/mol of formula units.

The structure in Quantum ESPRESSO input format:
```
&SYSTEM
  ibrav = 0, nat = 4, ntyp = 3
/
ATOMIC_SPECIES
Tc 98.00 Tc.upf
Co 58.93 Co.upf
Ni 58.69 Ni.upf
CELL_PARAMETERS angstrom
2.5748 0.0000 0.0000
0.0000 4.1215 0.0000
0.0000 0.0000 4.4982
ATOMIC_POSITIONS angstrom
Tc 0.0000 2.0607 3.1677
Tc 0.0000 0.0000 0.2068
Co 1.2874 0.0000 2.3876
Ni 1.2874 2.0607 0.9851
```



No. 8
## CoNi3Te (meta-GGA SCAN)

Data for a PBEsol-optimized structure of CoNi3Te. Values from VASP.

Results
For the volume, the calculation gives 91.8 Å³/cell. As for the total energy: -97.50 eV for the cell shown. As for the total magnetic moment: 0.442 μB per atom. The space group is Pm-3m, No. 221.

The structure in Quantum ESPRESSO input format:
```
&SYSTEM
  ibrav = 0, nat = 5, ntyp = 3
/
ATOMIC_SPECIES
Ni 58.69 Ni.upf
Te 127.60 Te.upf
Co 58.93 Co.upf
CELL_PARAMETERS angstrom
-1.7163 -3.4811 2.2988
3.6845 -2.4307 -0.9299
1.9563 1.5239 3.7682
ATOMIC_POSITIONS angstrom
Ni -0.8582 -1.7406 1.1494
Ni 0.9782 0.7619 1.8841
Ni 1.8423 -1.2153 -0.4649
Te 0.0000 0.0000 0.0000
Co 1.9622 -2.1940 2.5686
```



no.,DOS(E_F) (states/eV per atom)
1,0.37
2,0.80
3,0.77
4,0.85
5,0.81
6,1.13
7,0.78
8,1.00